Compound: MgPd2
Source: Alexandria via LeMat-Bulk
Functional: GGA-PBE
Structure: relaxed

Lattice parameters (Å, degrees): 3.037 3.037 5.542 105.90 105.90 90.00
Positions (direct):
Mg1 0.000 0.000 0.000
Pd1 0.660 0.660 0.320
Pd2 0.340 0.340 0.680

Summary:
The crystal system is tetragonal. The value obtained for the total energy is -0.167 Ha/atom. The spin magnetization comes out at 0.00 μB per formula unit.

***

Compound: Mg2Pd
Source: Alexandria via LeMat-Bulk
Functional: GGA-PBE
Structure: relaxed

Lattice parameters (Å, degrees): 8.570 8.570 8.570 60.00 60.00 60.00
Positions (direct):
Mg1 0.195 0.805 0.195
Mg2 0.195 0.195 0.805
Mg3 0.195 0.805 0.805
Mg4 0.055 0.445 0.055
Mg5 0.805 0.195 0.195
Mg6 0.055 0.445 0.445
Mg7 0.445 0.055 0.445
Mg8 0.445 0.445 0.055
Mg9 0.805 0.805 0.195
Mg10 0.445 0.055 0.055
Mg11 0.625 0.625 0.625
Mg12 0.805 0.195 0.805
Mg13 0.055 0.055 0.445
Mg14 0.125 0.625 0.625
Mg15 0.625 0.625 0.125
Mg16 0.625 0.125 0.625
Pd1 0.843 0.472 0.843
Pd2 0.843 0.843 0.843
Pd3 0.472 0.843 0.843
Pd4 0.407 0.778 0.407
Pd5 0.843 0.843 0.472
Pd6 0.778 0.407 0.407
Pd7 0.407 0.407 0.407
Pd8 0.407 0.407 0.778

Summary:
The crystal system is cubic. The value obtained for the total energy is -0.122 Ha/atom. The spin magnetization comes out at 0.00 μB per formula unit.

***

Compound: PmMgPd4
Source: Alexandria via LeMat-Bulk
Functional: GGA-PBE
Structure: relaxed

Lattice parameters (Å, degrees): 5.399 5.399 5.399 60.00 60.00 60.00
Positions (direct):
Mg1 0.000 0.000 0.000
Pd1 0.626 0.626 0.123
Pd2 0.626 0.123 0.626
Pd3 0.626 0.626 0.626
Pd4 0.123 0.626 0.626
Pm1 0.250 0.250 0.250

Summary:
The crystal system is cubic. The value obtained for the total energy is -0.191 Ha/atom. The spin magnetization comes out at 0.00 μB per formula unit. The value obtained for the energy above the lowest structure with this stoichiometry is 0 meV/atom.

***

Compound: PmMgPd
Source: Alexandria via LeMat-Bulk
Functional: GGA-PBE
Structure: relaxed

Lattice parameters (Å, degrees): 5.941 5.118 5.118 116.86 90.00 90.00
Positions (direct):
Pm1 0.250 0.658 0.342
Pm2 0.750 0.342 0.658
Mg1 0.500 0.000 0.000
Mg2 0.000 0.000 0.000
Pd1 0.250 0.311 0.689
Pd2 0.750 0.689 0.311

Summary:
The crystal system is orthorhombic. The value obtained for the total energy is -0.162 Ha/atom. The spin magnetization comes out at 0.00 μB per formula unit. The value obtained for the energy above the lowest structure with this stoichiometry is 97 meV/atom.

***

- What is the spin magnetization in the fourth record?
  0.00 μB per formula unit

***

- Number 1 is which compound?
  MgPd2